[1]
Ca3Ho2NpN6 | PBE | relaxed

Summary:
- total magnetic moment (μB per formula unit) = 1.00
- E_form (uncorrected) (eV/atom) = -1.385

abc: 5.987 5.987 6.035
angles: 99.55 99.55 120.02
Sites, in units of the cell vectors:
Ca  0.000  0.000  0.000
Ca  0.334  0.666  0.000
Ca  0.666  0.334  0.000
Ho  0.167  0.833  0.500
Ho  0.833  0.167  0.500
Np  0.500  0.500  0.500
N  0.118  0.427  0.280
N  0.265  0.265  0.713
N  0.427  0.118  0.280
N  0.573  0.882  0.720
N  0.735  0.735  0.287
N  0.882  0.573  0.720

[2]
Ca3HoNp2N6 | PBE | relaxed

Summary:
- total magnetic moment (μB per formula unit) = 5.00
- E_form (uncorrected) (eV/atom) = -1.267

abc: 7.732 7.732 6.990
angles: 103.39 103.39 26.11
Sites, in units of the cell vectors:
Ca  0.000  0.000  0.000
Ca  0.334  0.334  0.667
Ca  0.666  0.666  0.333
Ho  0.000  0.000  0.500
Np  0.335  0.335  0.171
Np  0.665  0.665  0.829
N  0.163  0.163  0.608
N  0.177  0.177  0.065
N  0.486  0.486  0.253
N  0.514  0.514  0.747
N  0.823  0.823  0.935
N  0.837  0.837  0.392

[3]
CaHo2NpN4 | PBE | relaxed

Summary:
- total magnetic moment (μB per formula unit) = 2.87
- E_form (uncorrected) (eV/atom) = -1.423

abc: 5.944 3.468 5.955
angles: 90.00 108.27 90.00
Sites, in units of the cell vectors:
Ca  0.000  0.000  0.000
Ho  0.500  0.000  0.500
Ho  0.500  0.500  0.000
Np  0.000  0.500  0.500
N  0.242  0.500  0.280
N  0.253  0.000  0.744
N  0.747  0.000  0.256
N  0.758  0.500  0.720

Which of these has the lowest E_form (uncorrected)? CaHo2NpN4

What did the second record say?
Ca3HoNp2N6 | PBE | relaxed

Summary:
- total magnetic moment (μB per formula unit) = 5.00
- E_form (uncorrected) (eV/atom) = -1.267

abc: 7.732 7.732 6.990
angles: 103.39 103.39 26.11
Sites, in units of the cell vectors:
Ca  0.000  0.000  0.000
Ca  0.334  0.334  0.667
Ca  0.666  0.666  0.333
Ho  0.000  0.000  0.500
Np  0.335  0.335  0.171
Np  0.665  0.665  0.829
N  0.163  0.163  0.608
N  0.177  0.177  0.065
N  0.486  0.486  0.253
N  0.514  0.514  0.747
N  0.823  0.823  0.935
N  0.837  0.837  0.392